# 1
The following is a DFT calculation (PBE-GGA) of Pm12GaCo7 after structural relaxation.

Output
calculated density: 7.26 g/cm³
formation enthalpy at 0 K: -9.3 kJ/mol of atoms

Cell lengths 8.7714, 8.7714, 8.7714 Å; angles 110.03, 110.03, 110.03 degrees
Atoms (fractional coordinates):
Pm 0.1082 0.6572 0.2536
Pm 0.1160 0.3186 0.4014
Pm 0.2536 0.1082 0.6572
Pm 0.3186 0.4013 0.1160
Pm 0.3428 0.7464 0.8918
Pm 0.4013 0.1160 0.3186
Pm 0.5986 0.8840 0.6814
Pm 0.6572 0.2536 0.1082
Pm 0.6814 0.5986 0.8840
Pm 0.7464 0.8918 0.3428
Pm 0.8840 0.6814 0.5987
Pm 0.8918 0.3428 0.7464
Ga 0.0000 0.0000 0.0000
Co 0.0295 0.9335 0.2578
Co 0.0665 0.7422 0.9705
Co 0.2578 0.0295 0.9335
Co 0.5000 0.5000 0.5000
Co 0.7422 0.9705 0.0665
Co 0.9335 0.2578 0.0295
Co 0.9705 0.0665 0.7422

=====

# 2
The following is a DFT calculation (PBE-GGA) of CaLuMg after structural relaxation.

Output
calculated density: 4.38 g/cm³
distance to the lowest polymorph of the same formula: 0.079 eV/atom
formation enthalpy at 0 K: 10.6 kJ/mol of atoms

Cell lengths 5.5847, 5.5847, 3.3574 Å; angles 90.00, 90.00, 120.00 degrees
Atoms (fractional coordinates):
Ca 0.0000 0.0000 0.0000
Lu 0.3333 0.6667 0.6249
Mg 0.6667 0.3333 0.2719